# 1
Compound: YBeRh
Source: Alexandria
Functional: PBE-GGA
Structure: optimized geometry

Computed properties:
calculated total energy	-6.420	eV per atom
total magnetic moment	0.00	μB/cell
density	6.0	Mg/m³
energy above the lowest structure with this stoichiometry	0.0428	eV/atom
formation energy from the elements	-1.7	eV/f.u.
calculated volume	221.0	Å³/cell

abc: 4.130 4.130 12.951
angles: 90.00 90.00 90.00
Fractional positions:
Y 0.000 0.000 0.153
Y 0.000 0.000 0.847
Y 0.500 0.500 0.347
Y 0.500 0.500 0.653
Be 0.000 0.000 0.412
Be 0.000 0.000 0.588
Be 0.500 0.500 0.088
Be 0.500 0.500 0.912
Rh 0.000 0.500 0.000
Rh 0.000 0.500 0.500
Rh 0.500 0.000 0.000
Rh 0.500 0.000 0.500


# 2
Compound: Y2BeRh
Source: Alexandria
Functional: PBE-GGA
Structure: optimized geometry

Computed properties:
calculated total energy	-6.447	eV per atom
total magnetic moment	0.32	μB/cell
density	5.3	Mg/m³
formation energy from the elements	-1.8	eV/f.u.
calculated volume	274.6	Å³/cell

abc: 3.896 3.896 20.888
angles: 90.00 90.00 120.00
Fractional positions:
Y 0.000 0.000 0.000
Y 0.000 0.000 0.184
Y 0.333 0.667 0.667
Y 0.333 0.667 0.851
Y 0.667 0.333 0.333
Y 0.667 0.333 0.518
Be 0.000 0.000 0.760
Be 0.333 0.667 0.426
Be 0.667 0.333 0.093
Rh 0.000 0.000 0.424
Rh 0.333 0.667 0.090
Rh 0.667 0.333 0.757


# 3
Compound: YBeRh2
Source: Alexandria
Functional: PBE-GGA
Structure: optimized geometry

Computed properties:
calculated total energy	-6.716	eV per atom
total magnetic moment	0.00	μB/cell
density	7.5	Mg/m³
formation energy from the elements	-2.0	eV/f.u.
calculated volume	134.0	Å³/cell

abc: 6.888 4.021 5.372
angles: 90.00 115.73 90.00
Fractional positions:
Y 0.000 0.000 0.000
Y 0.500 0.500 0.000
Be 0.000 0.500 0.500
Be 0.500 0.000 0.500
Rh 0.215 0.000 0.642
Rh 0.285 0.500 0.358
Rh 0.715 0.500 0.642
Rh 0.785 0.000 0.358


# 4
Compound: YBe2Rh
Source: Alexandria
Functional: PBE-GGA
Structure: optimized geometry

Computed properties:
calculated total energy	-5.613	eV per atom
total magnetic moment	0.00	μB/cell
density	6.0	Mg/m³
energy above the lowest structure with this stoichiometry	0.1732	eV/atom
formation energy from the elements	-1.2	eV/f.u.
calculated volume	57.9	Å³/cell

abc: 3.013 3.013 6.377
angles: 90.00 90.00 90.00
Fractional positions:
Y 0.000 0.000 0.000
Be 0.500 0.500 0.327
Be 0.500 0.500 0.673
Rh 0.000 0.000 0.500


# 5
Compound: Y2BeRh
Source: Alexandria
Functional: PBE-GGA
Structure: optimized geometry

Computed properties:
calculated total energy	-6.109	eV per atom
total magnetic moment	0.00	μB/cell
density	6.4	Mg/m³
formation energy from the elements	-0.4	eV/f.u.
calculated volume	300.0	Å³/cell

abc: 6.694 6.694 6.694
angles: 90.00 90.00 90.00
Fractional positions:
Y 0.000 0.000 0.000
Y 0.000 0.500 0.500
Y 0.250 0.250 0.250
Y 0.250 0.750 0.750
Y 0.500 0.000 0.500
Y 0.500 0.500 0.000
Y 0.750 0.250 0.750
Y 0.750 0.750 0.250
Be 0.000 0.000 0.500
Be 0.000 0.500 0.000
Be 0.500 0.000 0.000
Be 0.500 0.500 0.500
Rh 0.250 0.250 0.750
Rh 0.250 0.750 0.250
Rh 0.750 0.250 0.250
Rh 0.750 0.750 0.750


# 6
Compound: Y4BeRh3
Source: Alexandria
Functional: PBE-GGA
Structure: optimized geometry

Computed properties:
calculated total energy	-7.098	eV per atom
total magnetic moment	0.00	μB/cell
density	6.5	Mg/m³
formation energy from the elements	-5.1	eV/f.u.
calculated volume	172.5	Å³/cell

abc: 3.946 4.053 10.783
angles: 90.00 90.00 90.00
Fractional positions:
Y 0.000 0.000 0.000
Y 0.000 0.500 0.277
Y 0.500 0.000 0.492
Y 0.500 0.500 0.780
Be 0.000 0.000 0.690
Rh 0.000 0.500 0.584
Rh 0.500 0.000 0.226
Rh 0.500 0.500 0.046


# 7
Compound: YBeRh2
Source: Alexandria
Functional: PBE-GGA
Structure: optimized geometry

Computed properties:
calculated total energy	-6.556	eV per atom
total magnetic moment	0.00	μB/cell
density	7.7	Mg/m³
formation energy from the elements	-1.3	eV/f.u.
calculated volume	65.8	Å³/cell

abc: 3.107 4.271 5.160
angles: 90.00 106.14 90.00
Fractional positions:
Y 0.000 0.000 0.000
Be 0.648 0.500 0.314
Rh 0.306 0.500 0.678
Rh 0.674 0.000 0.464


# 8
Compound: YBe2Rh
Source: Alexandria
Functional: PBE-GGA
Structure: optimized geometry

Computed properties:
calculated total energy	-5.521	eV per atom
total magnetic moment	0.00	μB/cell
density	5.0	Mg/m³
energy above the lowest structure with this stoichiometry	0.2652	eV/atom
formation energy from the elements	-0.8	eV/f.u.
calculated volume	276.6	Å³/cell

abc: 4.211 4.211 15.602
angles: 90.00 90.00 90.00
Fractional positions:
Y 0.000 0.250 0.375
Y 0.000 0.750 0.625
Y 0.500 0.250 0.125
Y 0.500 0.750 0.875
Be 0.000 0.000 0.000
Be 0.000 0.500 0.000
Be 0.250 0.250 0.750
Be 0.250 0.750 0.250
Be 0.500 0.000 0.500
Be 0.500 0.500 0.500
Be 0.750 0.250 0.750
Be 0.750 0.750 0.250
Rh 0.000 0.250 0.875
Rh 0.000 0.750 0.125
Rh 0.500 0.250 0.625
Rh 0.500 0.750 0.375


# 9
Compound: Y2BeRh2
Source: Alexandria
Functional: PBE-GGA
Structure: optimized geometry

Computed properties:
calculated total energy	-6.978	eV per atom
total magnetic moment	0.00	μB/cell
density	6.8	Mg/m³
energy above the lowest structure with this stoichiometry	0.0000	eV/atom
formation energy from the elements	-3.5	eV/f.u.
calculated volume	190.5	Å³/cell

abc: 5.784 5.784 7.059
angles: 100.88 100.88 55.66
Fractional positions:
Y 0.016 0.278 0.149
Y 0.278 0.016 0.649
Y 0.722 0.984 0.351
Y 0.984 0.722 0.851
Be 0.399 0.601 0.250
Be 0.601 0.399 0.750
Rh 0.247 0.500 0.490
Rh 0.500 0.247 0.990
Rh 0.500 0.753 0.010
Rh 0.753 0.500 0.510


# 10
Compound: Y2Be2ZnRh5
Source: Alexandria
Functional: PBE-GGA
Structure: optimized geometry

Computed properties:
calculated total energy	-6.558	eV per atom
total magnetic moment	0.00	μB/cell
density	8.6	Mg/m³
formation energy from the elements	-7.2	eV/f.u.
calculated volume	300.4	Å³/cell

abc: 9.619 9.619 3.247
angles: 90.00 90.00 90.00
Fractional positions:
Y 0.177 0.323 0.000
Y 0.323 0.823 0.000
Y 0.677 0.177 0.000
Y 0.823 0.677 0.000
Be 0.122 0.622 0.000
Be 0.378 0.122 0.000
Be 0.622 0.878 0.000
Be 0.878 0.378 0.000
Zn 0.000 0.000 0.000
Zn 0.500 0.500 0.000
Rh 0.000 0.500 0.500
Rh 0.068 0.788 0.500
Rh 0.212 0.068 0.500
Rh 0.288 0.568 0.500
Rh 0.432 0.288 0.500
Rh 0.500 0.000 0.500
Rh 0.568 0.712 0.500
Rh 0.712 0.432 0.500
Rh 0.788 0.932 0.500
Rh 0.932 0.212 0.500


# 11
Compound: YBeZnRh2
Source: Alexandria
Functional: PBE-GGA
Structure: optimized geometry

Computed properties:
calculated total energy	-5.715	eV per atom
total magnetic moment	0.00	μB/cell
density	7.8	Mg/m³
formation energy from the elements	-2.4	eV/f.u.
calculated volume	79.1	Å³/cell

abc: 4.339 4.339 4.200
angles: 90.00 90.00 90.00
Fractional positions:
Y 0.000 0.000 0.000
Be 0.500 0.500 0.500
Zn 0.500 0.500 0.000
Rh 0.000 0.500 0.500
Rh 0.500 0.000 0.500


# 12
Compound: Be2ZnRh2
Source: Alexandria
Functional: PBE-GGA
Structure: optimized geometry

Computed properties:
calculated total energy	-5.099	eV per atom
total magnetic moment	0.00	μB/cell
density	7.9	Mg/m³
energy above the lowest structure with this stoichiometry	0.1656	eV/atom
formation energy from the elements	-2.1	eV/f.u.
calculated volume	121.0	Å³/cell

abc: 6.484 6.484 2.879
angles: 90.00 90.00 90.00
Fractional positions:
Be 0.141 0.359 0.000
Be 0.359 0.859 0.000
Be 0.641 0.141 0.000
Be 0.859 0.641 0.000
Zn 0.000 0.000 0.500
Zn 0.500 0.500 0.500
Rh 0.151 0.651 0.500
Rh 0.349 0.151 0.500
Rh 0.651 0.849 0.500
Rh 0.849 0.349 0.500


# 13
Compound: Be4ZnRh3
Source: Alexandria
Functional: PBE-GGA
Structure: optimized geometry

Computed properties:
calculated total energy	-5.339	eV per atom
total magnetic moment	0.00	μB/cell
density	7.8	Mg/m³
formation energy from the elements	-4.5	eV/f.u.
calculated volume	86.8	Å³/cell

abc: 3.938 3.938 5.601
angles: 90.00 90.00 90.00
Fractional positions:
Be 0.000 0.500 0.229
Be 0.000 0.500 0.771
Be 0.500 0.000 0.229
Be 0.500 0.000 0.771
Zn 0.000 0.000 0.500
Rh 0.000 0.000 0.000
Rh 0.500 0.500 0.000
Rh 0.500 0.500 0.500


# 14
Compound: Be2ZnRh2
Source: Alexandria
Functional: PBE-GGA
Structure: optimized geometry

Computed properties:
calculated total energy	-5.265	eV per atom
total magnetic moment	0.00	μB/cell
density	8.5	Mg/m³
energy above the lowest structure with this stoichiometry	0.0000	eV/atom
formation energy from the elements	-2.9	eV/f.u.
calculated volume	113.4	Å³/cell

abc: 6.220 6.220 2.932
angles: 90.00 90.00 90.00
Fractional positions:
Be 0.126 0.374 0.000
Be 0.374 0.874 0.000
Be 0.626 0.126 0.000
Be 0.874 0.626 0.000
Zn 0.000 0.000 0.000
Zn 0.500 0.500 0.000
Rh 0.167 0.667 0.500
Rh 0.333 0.167 0.500
Rh 0.667 0.833 0.500
Rh 0.833 0.333 0.500


# 15
Compound: Be2ZnRh3
Source: Alexandria
Functional: PBE-GGA
Structure: optimized geometry

Computed properties:
calculated total energy	-5.648	eV per atom
total magnetic moment	0.00	μB/cell
density	9.2	Mg/m³
formation energy from the elements	-3.1	eV/f.u.
calculated volume	71.0	Å³/cell

abc: 2.832 2.832 8.848
angles: 90.00 90.00 90.00
Fractional positions:
Be 0.000 0.000 0.154
Be 0.000 0.000 0.846
Zn 0.000 0.000 0.500
Rh 0.500 0.500 0.000
Rh 0.500 0.500 0.308
Rh 0.500 0.500 0.692


# 16
Compound: Be3ZnRh
Source: Alexandria
Functional: PBE-GGA
Structure: optimized geometry

Computed properties:
calculated total energy	-3.551	eV per atom
total magnetic moment	0.00	μB/cell
density	4.4	Mg/m³
energy above the lowest structure with this stoichiometry	0.0000	eV/atom
formation energy from the elements	2.1	eV/f.u.
calculated volume	73.1	Å³/cell

abc: 4.181 4.181 4.181
angles: 90.00 90.00 90.00
Fractional positions:
Be 0.000 0.000 0.500
Be 0.000 0.500 0.000
Be 0.500 0.000 0.000
Zn 0.500 0.500 0.500
Rh 0.000 0.000 0.000


# 17
Compound: BeZnRh3
Source: Alexandria
Functional: PBE-GGA
Structure: optimized geometry

Computed properties:
calculated total energy	-5.327	eV per atom
total magnetic moment	0.00	μB/cell
density	9.1	Mg/m³
energy above the lowest structure with this stoichiometry	0.0000	eV/atom
formation energy from the elements	0.4	eV/f.u.
calculated volume	69.9	Å³/cell

abc: 4.119 4.119 4.119
angles: 90.00 90.00 90.00
Fractional positions:
Be 0.000 0.000 0.000
Zn 0.500 0.500 0.500
Rh 0.000 0.000 0.500
Rh 0.000 0.500 0.000
Rh 0.500 0.000 0.000


# 18
Compound: BeZnRh3
Source: Alexandria
Functional: PBE-GGA
Structure: optimized geometry

Computed properties:
calculated total energy	-4.148	eV per atom
total magnetic moment	2.09	μB/cell
density	7.0	Mg/m³
energy above the lowest structure with this stoichiometry	1.1790	eV/atom
formation energy from the elements	6.3	eV/f.u.
calculated volume	91.1	Å³/cell

abc: 4.500 4.500 4.500
angles: 90.00 90.00 90.00
Fractional positions:
Be 0.000 0.000 0.000
Zn 0.500 0.500 0.500
Rh 0.000 0.500 0.500
Rh 0.500 0.000 0.500
Rh 0.500 0.500 0.000


# 19
Compound: Be2ZnRh2
Source: Alexandria
Functional: PBE-GGA
Structure: optimized geometry

Computed properties:
calculated total energy	-4.957	eV per atom
total magnetic moment	0.00	μB/cell
density	7.9	Mg/m³
energy above the lowest structure with this stoichiometry	0.3071	eV/atom
formation energy from the elements	-1.4	eV/f.u.
calculated volume	120.9	Å³/cell

abc: 3.036 3.036 13.122
angles: 90.00 90.00 90.00
Fractional positions:
Be 0.000 0.500 0.250
Be 0.000 0.500 0.750
Be 0.500 0.000 0.250
Be 0.500 0.000 0.750
Zn 0.000 0.000 0.000
Zn 0.500 0.500 0.500
Rh 0.000 0.000 0.382
Rh 0.000 0.000 0.618
Rh 0.500 0.500 0.118
Rh 0.500 0.500 0.882


# 20
Compound: Be3ZnRh4
Source: Alexandria
Functional: PBE-GGA
Structure: optimized geometry

Computed properties:
calculated total energy	-5.728	eV per atom
total magnetic moment	0.00	μB/cell
density	9.0	Mg/m³
formation energy from the elements	-4.0	eV/f.u.
calculated volume	93.2	Å³/cell

abc: 4.023 4.023 5.755
angles: 90.00 90.00 90.00
Fractional positions:
Be 0.000 0.000 0.000
Be 0.000 0.000 0.500
Be 0.500 0.500 0.000
Zn 0.500 0.500 0.500
Rh 0.000 0.500 0.237
Rh 0.000 0.500 0.763
Rh 0.500 0.000 0.237
Rh 0.500 0.000 0.763